Below is a relaxed Na2Li3Tl4 crystal, with properties calculated at the PBE-GGA level. Values from VASP.

Values from the calculation:
- Total magnetization: 0.00 μB per atom
- Crystal system: triclinic
- V: 222.2 Å³ per cell
- ρ: 6.6 Mg/m³
- Calculated formation energy: -0.156 eV per atom
- SG: P-1

Structure (Quantum ESPRESSO input):
```
&SYSTEM
  ibrav = 0, nat = 9, ntyp = 3
/
ATOMIC_SPECIES
Na 22.99 Na.upf
Li 6.94 Li.upf
Tl 204.38 Tl.upf
ATOMIC_POSITIONS crystal
Na 0.7472 0.5025 0.2037
Na 0.2528 0.4975 0.7963
Li 0.0000 0.0000 0.0000
Li 0.3610 0.2771 0.4630
Li 0.6390 0.7229 0.5370
Tl 0.9234 0.1529 0.6418
Tl 0.5631 0.8748 0.8428
Tl 0.0766 0.8471 0.3582
Tl 0.4369 0.1252 0.1572
CELL_PARAMETERS angstrom
4.8994 0.0184 0.0021
2.4690 5.3643 0.6177
0.0048 1.0195 8.5861
```


Below is a relaxed Na12LiTl3 crystal, with properties calculated at the PBE-GGA level. Values from VASP.

Values from the calculation:
- Total magnetization: 0.00 μB per atom
- Crystal system: tetragonal
- V: 497.5 Å³ per cell
- ρ: 3.0 Mg/m³
- Calculated formation energy: -0.043 eV per atom
- SG: P4/mmm

Structure (Quantum ESPRESSO input):
```
&SYSTEM
  ibrav = 0, nat = 16, ntyp = 3
/
ATOMIC_SPECIES
Na 22.99 Na.upf
Tl 204.38 Tl.upf
Li 6.94 Li.upf
ATOMIC_POSITIONS crystal
Na 0.0000 0.5000 0.3763
Na 0.5000 0.0000 0.1282
Na 0.5000 0.0000 0.3763
Na 0.5000 0.5000 0.7482
Na 0.5000 0.5000 0.0000
Na 0.0000 0.5000 0.6237
Na 0.0000 0.5000 0.1282
Na 0.5000 0.0000 0.6237
Na 0.0000 0.5000 0.8718
Na 0.5000 0.0000 0.8718
Na 0.5000 0.5000 0.2518
Na 0.5000 0.5000 0.5000
Tl 0.0000 0.0000 0.2507
Tl 0.0000 0.0000 0.7493
Tl 0.0000 0.0000 0.5000
Li 0.0000 0.0000 0.0000
CELL_PARAMETERS angstrom
-0.6307 0.2237 5.0272
-1.3673 -4.8835 0.0458
18.4701 -5.1476 2.5463
```


Below is a relaxed Na2LiTl3 crystal, with properties calculated at the PBE-GGA level. Values from VASP.

Values from the calculation:
- Total magnetization: 0.00 μB per atom
- Crystal system: orthorhombic
- V: 312.3 Å³ per cell
- ρ: 7.1 Mg/m³
- Calculated formation energy: -0.125 eV per atom
- SG: Cmmm

Structure (Quantum ESPRESSO input):
```
&SYSTEM
  ibrav = 0, nat = 12, ntyp = 3
/
ATOMIC_SPECIES
Tl 204.38 Tl.upf
Na 22.99 Na.upf
Li 6.94 Li.upf
ATOMIC_POSITIONS crystal
Tl 0.4697 0.8556 0.1444
Tl 0.9697 0.8556 0.1444
Tl 0.4698 0.5000 0.5000
Tl 0.9698 0.5000 0.5000
Tl 0.9697 0.1444 0.8556
Tl 0.4697 0.1444 0.8556
Na 0.2196 0.3242 0.6758
Na 0.7196 0.3242 0.6758
Na 0.7196 0.6758 0.3242
Na 0.2196 0.6758 0.3242
Li 0.2196 0.0000 0.0000
Li 0.7196 0.0000 0.0000
CELL_PARAMETERS angstrom
7.6633 0.0000 0.0000
0.0000 8.0378 -2.0845
0.0000 -5.2521 6.4318
```